# AcFeMoP2

A relaxed AcFeMoP2 crystal (PBE, the Alexandria database).

Output
Volume (Å³ per atom): 18.87
Energy of formation (eV per formula unit): -3.83

abc: 6.6909 6.6909 6.6909
angles: 145.77 145.77 49.19
Fractional positions:
Ac: 0.0000 0.0000 0.0000
Fe: 0.7500 0.2500 0.5000
Mo: 0.2500 0.7500 0.5000
P: 0.3585 0.3585 0.0000
P: 0.6415 0.6415 0.0000

# AcFeSi2Mo

A relaxed AcFeSi2Mo crystal (PBE, the Alexandria database).

Output
Calculated total energy (eV/atom): -7.23
Volume (Å³ per atom): 19.20

abc: 6.3051 6.3051 6.3051
angles: 141.59 141.59 55.44
Fractional positions:
Ac: 0.0000 0.0000 0.0000
Fe: 0.2500 0.7500 0.5000
Si: 0.3691 0.3691 0.0000
Si: 0.6309 0.6309 0.0000
Mo: 0.7500 0.2500 0.5000

# AcFeN3

A relaxed AcFeN3 crystal (PBE, the Alexandria database).

Output
Calculated total energy (eV/atom): -8.03
Volume (Å³ per atom): 16.86

abc: 5.8066 5.8066 7.4858
angles: 99.12 99.12 42.67
Fractional positions:
Ac: 0.1722 0.1722 0.2722
Ac: 0.8278 0.8278 0.7278
Fe: 0.4639 0.4639 0.3495
Fe: 0.5361 0.5361 0.6505
N: 0.3467 0.3467 0.9720
N: 0.3726 0.3726 0.5306
N: 0.4006 0.4006 0.1274
N: 0.5994 0.5994 0.8726
N: 0.6274 0.6274 0.4694
N: 0.6533 0.6533 0.0280

# Ac2FeN

A relaxed Ac2FeN crystal (PBE, the Alexandria database).

Output
Calculated total energy (eV/atom): -6.05
Volume (Å³ per atom): 26.51

abc: 9.2692 9.2692 9.2692
angles: 22.93 22.93 22.93
Fractional positions:
Ac: 0.1087 0.1087 0.1087
Ac: 0.8913 0.8913 0.8913
Fe: 0.0000 0.0000 0.0000
N: 0.5000 0.5000 0.5000

# AcFeN

A relaxed AcFeN crystal (PBE, the Alexandria database).

Output
Volume (Å³ per atom): 21.40
Distance to the lowest polymorph of the same formula (meV/atom): 0

abc: 10.0964 10.0964 3.5951
angles: 90.00 90.00 159.49
Fractional positions:
Ac: 0.1086 0.8914 0.7500
Ac: 0.8914 0.1086 0.2500
Fe: 0.2741 0.7259 0.7500
Fe: 0.7259 0.2741 0.2500
N: 0.3665 0.6335 0.7500
N: 0.6335 0.3665 0.2500

# AcFeN

A relaxed AcFeN crystal (PBE, the Alexandria database).

Output
Volume (Å³ per atom): 16.42
Distance to the lowest polymorph of the same formula (meV/atom): 366

abc: 3.6250 3.6250 4.3299
angles: 90.00 90.00 120.00
Fractional positions:
Ac: 0.0000 0.0000 0.0000
Fe: 0.3333 0.6667 0.5000
N: 0.6667 0.3333 0.5000

# Ac2NbFe2N6

A relaxed Ac2NbFe2N6 crystal (PBE, the Alexandria database).

Output
Calculated total energy (eV/atom): -8.36
Volume (Å³ per atom): 14.22

abc: 6.3402 6.3402 6.3402
angles: 54.33 54.33 54.33
Fractional positions:
Ac: 0.2349 0.2349 0.2349
Ac: 0.7651 0.7651 0.7651
Nb: 0.0000 0.0000 0.0000
Fe: 0.4368 0.4368 0.4368
Fe: 0.5632 0.5632 0.5632
N: 0.2438 0.2438 0.7456
N: 0.2438 0.7456 0.2438
N: 0.2544 0.7562 0.7562
N: 0.7456 0.2438 0.2438
N: 0.7562 0.2544 0.7562
N: 0.7562 0.7562 0.2544

# AcNd2FeN4

A relaxed AcNd2FeN4 crystal (PBE, the Alexandria database).

Output
Calculated total energy (eV/atom): -7.84
Volume (Å³ per atom): 16.13

abc: 6.2672 6.2672 12.0794
angles: 90.00 90.00 147.04
Fractional positions:
Ac: 0.1080 0.8920 0.7500
Ac: 0.8920 0.1080 0.2500
Nd: 0.3670 0.6330 0.5450
Nd: 0.3670 0.6330 0.9550
Nd: 0.6330 0.3670 0.0450
Nd: 0.6330 0.3670 0.4550
Fe: 0.1674 0.8326 0.2500
Fe: 0.8326 0.1674 0.7500
N: 0.0000 0.0000 0.0000
N: 0.0000 0.0000 0.5000
N: 0.2683 0.7317 0.1325
N: 0.2683 0.7317 0.3675
N: 0.3954 0.6046 0.7500
N: 0.6046 0.3954 0.2500
N: 0.7317 0.2683 0.6325
N: 0.7317 0.2683 0.8675